(1)
ZnSbRh3 | PBE-GGA | relaxed

total magnetic moment = 0.000 μB per atom
energy above the lowest structure with this stoichiometry = 603.5 meV/atom
energy relative to the elements, uncorrected = 670.2 meV/atom

```
ZnSbRh3
1.0
-2.3230 1.8186 -3.4498
2.2770 -2.6274 -2.9184
-3.1660 -3.2240 0.4323
Zn Rh Sb
1 3 1
Cartesian
0.0000 0.0000 0.0000
1.1385 -1.3137 -1.4592
-1.1615 0.9093 -1.7249
-1.5830 -1.6120 0.2161
-1.6060 -2.0164 -2.9679
```

(2)
MnRe2Mo | PBE-GGA | relaxed

ΔE_f = 0.1057 eV per atom
total magnetic moment = 0.000 μB per atom
energy above the lowest structure with this stoichiometry = 17.1 meV/atom

```
MnRe2Mo
1.0
-2.5312 0.9371 -0.0276
-0.9342 -2.5277 -0.1545
-0.2310 -0.3934 7.8352
Re Mn Mo
2 1 1
Cartesian
-0.0069 -0.0117 0.2329
-0.1086 -0.1850 3.6847
-1.7904 -0.8936 1.8678
-1.9059 -1.0903 5.7854
```

(3)
NaNdSm2 | PBE-GGA | relaxed

ΔE_f = 0.2639 eV per atom
total magnetic moment = 0.000 μB per atom
energy above the lowest structure with this stoichiometry = 147.3 meV/atom

```
NaNdSm2
1.0
5.3099 0.0000 0.0000
0.0000 5.0525 0.0000
0.0000 0.0000 5.0525
Na Sm Nd
1 2 1
Cartesian
2.6549 2.5262 2.5262
0.0000 2.5262 0.0000
0.0000 0.0000 2.5262
2.6549 0.0000 0.0000
```

(4)
Ac2Pr5Sn4 | PBE-GGA | relaxed

ΔE_f = -0.2592 eV per atom
total magnetic moment = 0.051 μB per atom

```
Ac2Pr5Sn4
1.0
-2.7692 -2.3005 0.9928
5.1465 -4.9768 2.8231
0.6407 7.4307 11.9817
Sn Ac Pr
4 2 5
Cartesian
2.0610 1.5868 9.4256
-0.3458 3.0901 13.2195
3.3638 -2.9366 2.5781
0.9570 -1.4333 6.3720
1.3400 -0.2554 3.1458
1.6780 0.4089 12.6518
0.8056 1.8201 6.4646
-1.3846 -1.1502 0.4964
-0.9619 2.4907 10.1120
3.9799 -2.3372 5.6855
2.2123 -1.6666 9.3329
```

(5)
Sm6SnAs4 | PBE-GGA | relaxed

ΔE_f = -1.2729 eV per atom
total magnetic moment = 0.079 μB per atom

```
Sm6SnAs4
1.0
-1.5771 -3.9060 -0.2530
5.4185 0.4036 -4.8148
13.7761 -6.5309 14.9560
Sm Sn As
12 2 8
Cartesian
2.6057 -1.1809 1.9881
11.1139 -7.3767 9.4146
2.8736 -3.3375 -1.5806
10.1359 -4.5113 6.4661
12.5541 -7.6873 5.2320
15.0118 -8.8524 7.9002
14.7439 -6.6958 11.4688
-0.7886 -1.9530 -0.1265
5.0634 -2.3460 4.6563
6.5036 -2.6566 0.4737
6.0995 -5.2184 7.3515
7.4816 -5.5220 3.4221
4.1572 -4.0883 2.0098
13.4603 -5.9450 7.8785
5.5083 -2.0839 -2.1648
15.7702 -9.3351 10.6248
8.6713 -6.3196 8.3207
1.8473 -0.6982 -0.7365
10.0294 -6.6136 4.3924
12.1092 -7.9494 12.0531
8.9462 -3.7137 1.5675
7.5881 -3.4197 5.4959
```

(6)
Ni4PdPt3 | PBE-GGA | relaxed

ΔE_f = -0.0114 eV per atom
total magnetic moment = 0.481 μB per atom
energy above the lowest structure with this stoichiometry = 0.0 meV/atom

```
Ni4PdPt3
1.0
-1.1586 2.0544 2.0614
-2.5271 -1.8107 0.3843
5.0536 -5.3242 8.1466
Pd Ni Pt
1 4 3
Cartesian
-1.8429 0.1218 1.2228
3.1598 -3.3290 5.0937
0.6417 -0.6760 1.0344
4.4119 -4.6482 7.1122
1.8938 -1.9952 3.0529
1.9471 -3.8710 7.3323
0.6839 -2.5403 5.2961
-0.5792 -1.2095 3.2599
```

(7)
GdY2Pt | PBE-GGA | relaxed

ΔE_f = -0.4856 eV per atom
total magnetic moment = 2.091 μB per atom
energy above the lowest structure with this stoichiometry = 94.6 meV/atom

```
GdY2Pt
1.0
-1.6599 0.5032 3.4916
1.0753 -2.2330 3.0096
6.4154 5.6353 4.4143
Y Pt Gd
2 1 1
Cartesian
4.8308 3.3593 8.3423
1.0000 0.5462 2.5733
0.0000 0.0000 0.0000
2.9154 1.9528 5.4578
```

(8)
LaIn4Pb | PBE-GGA | relaxed

ΔE_f = -0.1817 eV per atom
total magnetic moment = 0.000 μB per atom

```
LaIn4Pb
1.0
3.3153 3.9107 3.4995
-2.8820 3.9222 3.8525
0.3480 -0.8608 6.1375
La In Pb
1 4 1
Cartesian
0.5859 5.2291 10.1171
0.2926 2.6113 5.0523
-1.1537 4.5796 6.9857
0.4672 2.1793 8.1324
1.9563 4.5739 6.8085
0.0000 0.0000 0.0000
```

What did the fifth record say?
Sm6SnAs4 | PBE-GGA | relaxed

ΔE_f = -1.2729 eV per atom
total magnetic moment = 0.079 μB per atom

```
Sm6SnAs4
1.0
-1.5771 -3.9060 -0.2530
5.4185 0.4036 -4.8148
13.7761 -6.5309 14.9560
Sm Sn As
12 2 8
Cartesian
2.6057 -1.1809 1.9881
11.1139 -7.3767 9.4146
2.8736 -3.3375 -1.5806
10.1359 -4.5113 6.4661
12.5541 -7.6873 5.2320
15.0118 -8.8524 7.9002
14.7439 -6.6958 11.4688
-0.7886 -1.9530 -0.1265
5.0634 -2.3460 4.6563
6.5036 -2.6566 0.4737
6.0995 -5.2184 7.3515
7.4816 -5.5220 3.4221
4.1572 -4.0883 2.0098
13.4603 -5.9450 7.8785
5.5083 -2.0839 -2.1648
15.7702 -9.3351 10.6248
8.6713 -6.3196 8.3207
1.8473 -0.6982 -0.7365
10.0294 -6.6136 4.3924
12.1092 -7.9494 12.0531
8.9462 -3.7137 1.5675
7.5881 -3.4197 5.4959
```

Repeat the second record exactly.
MnRe2Mo | PBE-GGA | relaxed

ΔE_f = 0.1057 eV per atom
total magnetic moment = 0.000 μB per atom
energy above the lowest structure with this stoichiometry = 17.1 meV/atom

```
MnRe2Mo
1.0
-2.5312 0.9371 -0.0276
-0.9342 -2.5277 -0.1545
-0.2310 -0.3934 7.8352
Re Mn Mo
2 1 1
Cartesian
-0.0069 -0.0117 0.2329
-0.1086 -0.1850 3.6847
-1.7904 -0.8936 1.8678
-1.9059 -1.0903 5.7854
```

What did the eighth record say?
LaIn4Pb | PBE-GGA | relaxed

ΔE_f = -0.1817 eV per atom
total magnetic moment = 0.000 μB per atom

```
LaIn4Pb
1.0
3.3153 3.9107 3.4995
-2.8820 3.9222 3.8525
0.3480 -0.8608 6.1375
La In Pb
1 4 1
Cartesian
0.5859 5.2291 10.1171
0.2926 2.6113 5.0523
-1.1537 4.5796 6.9857
0.4672 2.1793 8.1324
1.9563 4.5739 6.8085
0.0000 0.0000 0.0000
```